Entry 1:
Here is crystalline H2Se2F at its relaxed geometry from the Alexandria database. Energies are from PBE.

Results
Energy above the lowest structure with this stoichiometry in meV/atom: 0

Geometry as CIF:
```
data_H2Se2F
_cell_length_a 4.1485
_cell_length_b 4.1485
_cell_length_c 3.6056
_cell_angle_alpha 90.00
_cell_angle_beta 90.00
_cell_angle_gamma 90.00
_space_group_name_H-M_alt 'P 1'
_space_group_IT_number 1
loop_
_space_group_symop_operation_xyz
'x,y,z'
loop_
_atom_site_label
_atom_site_type_symbol
_atom_site_fract_x
_atom_site_fract_y
_atom_site_fract_z
H1 H 0.0000 0.5000 0.0000
H2 H 0.5000 0.0000 0.0000
Se1 Se 0.0000 0.5000 0.5000
Se2 Se 0.5000 0.0000 0.5000
F1 F 0.0000 0.0000 0.0000
```


Entry 2:
Here is crystalline RbF4 at its relaxed geometry from the Alexandria database. Energies are from PBE.

Results
Formation energy from raw total energies in meV/atom: -514
Energy above the lowest structure with this stoichiometry in meV/atom: 644

Geometry as CIF:
```
data_RbF4
_cell_length_a 5.4118
_cell_length_b 5.4118
_cell_length_c 5.4118
_cell_angle_alpha 90.00
_cell_angle_beta 90.00
_cell_angle_gamma 90.00
_space_group_name_H-M_alt 'P 1'
_space_group_IT_number 1
loop_
_space_group_symop_operation_xyz
'x,y,z'
loop_
_atom_site_label
_atom_site_type_symbol
_atom_site_fract_x
_atom_site_fract_y
_atom_site_fract_z
Rb1 Rb 0.0000 0.0000 0.0000
F1 F 0.0000 0.0000 0.5000
F2 F 0.0000 0.5000 0.0000
F3 F 0.5000 0.0000 0.0000
F4 F 0.5000 0.5000 0.5000
```


Entry 3:
Here is crystalline InAsSe at its relaxed geometry from the Alexandria database. Energies are from PBE.

Results
Formation energy from raw total energies in meV/atom: 78

Geometry as CIF:
```
data_InAsSe
_cell_length_a 6.2703
_cell_length_b 6.2703
_cell_length_c 6.2703
_cell_angle_alpha 145.81
_cell_angle_beta 145.81
_cell_angle_gamma 49.14
_space_group_name_H-M_alt 'P 1'
_space_group_IT_number 1
loop_
_space_group_symop_operation_xyz
'x,y,z'
loop_
_atom_site_label
_atom_site_type_symbol
_atom_site_fract_x
_atom_site_fract_y
_atom_site_fract_z
In1 In 0.0000 0.0000 0.0000
As1 As 0.7065 0.7065 0.0000
Se1 Se 0.2752 0.2752 0.0000
```


Entry 4:
Here is crystalline PrRe2Si2 at its relaxed geometry from the Alexandria database. Energies are from PBE.

Results
Formation energy from raw total energies in meV/atom: -433

Geometry as CIF:
```
data_PrRe2Si2
_cell_length_a 6.0792
_cell_length_b 6.0792
_cell_length_c 6.0792
_cell_angle_alpha 140.57
_cell_angle_beta 140.57
_cell_angle_gamma 57.00
_space_group_name_H-M_alt 'P 1'
_space_group_IT_number 1
loop_
_space_group_symop_operation_xyz
'x,y,z'
loop_
_atom_site_label
_atom_site_type_symbol
_atom_site_fract_x
_atom_site_fract_y
_atom_site_fract_z
Pr1 Pr 0.0000 0.0000 0.0000
Re1 Re 0.2500 0.7500 0.5000
Re2 Re 0.7500 0.2500 0.5000
Si1 Si 0.3788 0.3788 0.0000
Si2 Si 0.6212 0.6212 0.0000
```


no.,E (eV/atom)
1,-3.014
2,-2.205
3,-3.546
4,-8.538